VASP calculation (PBE with a Hubbard U) on PaFeWO6 after structural relaxation.

The space group is P-31c (No. 163) and the conventional cell measures 5.5868, 5.5868 and 8.8332 Å, with angles of 90.00, 90.00 and 120.00 degrees. The inequivalent atoms are Pa at (0.3333, 0.6667, 0.2500), Fe at (0.0000, 0.0000, 0.0000), W at (0.3333, 0.6667, 0.7500) and O at (0.0231, 0.3565, 0.6328).

Its total magnetization is 5.00 μB per formula unit. The electronic total energy is -144.97 eV per cell.